# RbInTe

A relaxed RbInTe crystal (PBE, Alexandria via LeMat-Bulk).

Values from the calculation:
polymorph energy (0 for the lowest one): 0.014 eV/atom
space group: P2_1/m

a = 4.4044 Å, b = 5.7734 Å, c = 9.3667 Å
α = 90.00°, β = 90.63°, γ = 90.00°
With the nearest neighbours (Å) after each atom.
Positions (direct):
Rb 0.4914 0.2500 0.6456  5 Te 3.70-4.04, 3 In 3.89-3.99, 2 Rb 3.97
Rb 0.5086 0.7500 0.3544  5 Te 3.70-4.04, 3 In 3.89-3.99, 2 Rb 3.97
In 0.5008 0.2500 0.0610  2 Te 2.99, 2 In 3.10
In 0.4992 0.7500 0.9390  2 Te 2.99, 2 In 3.10
Te 0.0060 0.2500 0.2775  2 In 2.99
Te 0.9940 0.7500 0.7225  2 In 2.99

=====

# La10TbPm4

A relaxed La10TbPm4 crystal (PBE, Alexandria via LeMat-Bulk).

Values from the calculation:
formation energy from the elements: 0.344 eV/atom
space group: I4/m

a = 10.9906 Å, b = 9.0238 Å, c = 9.0238 Å
α = 68.23°, β = 52.48°, γ = 52.48°
With the nearest neighbours (Å) after each atom.
Positions (direct):
La 0.2500 0.5000 0.5000  4 La 3.04
La 0.7175 0.3531 0.8780  2 La 3.04-3.29, 1 Tb 3.24
La 0.9294 0.1220 0.3531  2 La 3.04-3.29, 1 Tb 3.24
La 0.4045 0.8780 0.6469  2 La 3.04-3.29, 1 Tb 3.24
La 0.9486 0.6469 0.1220  2 La 3.04-3.29, 1 Tb 3.24
La 0.2825 0.6469 0.1220  2 La 3.04-3.29, 1 Tb 3.24
La 0.7500 0.5000 0.5000  4 La 3.04
La 0.0514 0.3531 0.8780  2 La 3.04-3.29, 1 Tb 3.24
La 0.5955 0.1220 0.3531  2 La 3.04-3.29, 1 Tb 3.24
La 0.0706 0.8780 0.6469  2 La 3.04-3.29, 1 Tb 3.24
Tb 0.0000 0.0000 0.0000  8 La 3.24
Pm 0.5612 0.6671 0.2105  8 La 3.64-3.92, 2 Pm 3.99
Pm 0.7717 0.7895 0.6671  8 La 3.64-3.92, 2 Pm 3.99
Pm 0.2283 0.2105 0.3329  8 La 3.64-3.92, 2 Pm 3.99
Pm 0.4388 0.3329 0.7895  8 La 3.64-3.92, 2 Pm 3.99

=====

# Y5Sc3H12

A relaxed Y5Sc3H12 crystal (PBE, Alexandria via LeMat-Bulk).

Values from the calculation:
space group: Ia-3d

a = 11.0439 Å, b = 11.0439 Å, c = 11.0439 Å
α = 109.47°, β = 109.47°, γ = 109.47°
With the nearest neighbours (Å) after each atom.
Positions (direct):
Sc 0.7500 0.3750 0.1250  4 H 2.07
Sc 0.8750 0.7500 0.1250  4 H 2.07
Sc 0.3750 0.7500 0.6250  4 H 2.07
Sc 0.2500 0.1250 0.3750  4 H 2.07
Sc 0.8750 0.1250 0.2500  4 H 2.07
Sc 0.3750 0.6250 0.2500  4 H 2.07
Sc 0.6250 0.3750 0.7500  4 H 2.07
Sc 0.1250 0.8750 0.7500  4 H 2.07
Sc 0.7500 0.8750 0.6250  4 H 2.07
Sc 0.6250 0.2500 0.3750  4 H 2.07
Sc 0.1250 0.2500 0.8750  4 H 2.07
Sc 0.2500 0.6250 0.8750  4 H 2.07
Y 0.1250 0.3750 0.2500  4 H 2.17
Y 0.0000 0.5000 0.0000  6 H 2.20
Y 0.0000 0.0000 0.0000  6 H 2.20
Y 0.3750 0.2500 0.1250  4 H 2.17
Y 0.5000 0.0000 0.5000  6 H 2.20
Y 0.5000 0.5000 0.0000  6 H 2.20
Y 0.1250 0.7500 0.3750  4 H 2.17
Y 0.7500 0.1250 0.8750  4 H 2.17
Y 0.7500 0.6250 0.3750  4 H 2.17
Y 0.3750 0.1250 0.7500  4 H 2.17
Y 0.6250 0.8750 0.2500  4 H 2.17
Y 0.5000 0.5000 0.5000  6 H 2.20
Y 0.5000 0.0000 0.0000  6 H 2.20
Y 0.0000 0.0000 0.5000  6 H 2.20
Y 0.2500 0.3750 0.6250  4 H 2.17
Y 0.2500 0.8750 0.1250  4 H 2.17
Y 0.0000 0.5000 0.5000  6 H 2.20
Y 0.8750 0.2500 0.6250  4 H 2.17
Y 0.6250 0.7500 0.8750  4 H 2.17
Y 0.8750 0.6250 0.7500  4 H 2.17
H 0.7231 0.1659 0.0679  1 Sc 2.07, 2 Y 2.17-2.20, 1 H 2.20
H 0.3448 0.5679 0.4020  1 Sc 2.07, 2 Y 2.17-2.20, 1 H 2.20
H 0.9321 0.3341 0.2769  1 Sc 2.07, 2 Y 2.17-2.20, 1 H 2.20
H 0.5679 0.2231 0.1659  1 Sc 2.07, 2 Y 2.17-2.20, 1 H 2.20
H 0.5572 0.7231 0.6552  1 Sc 2.07, 2 Y 2.17-2.20, 1 H 2.20
H 0.9321 0.5980 0.1552  1 Sc 2.07, 2 Y 2.17-2.20, 1 H 2.20
H 0.3448 0.7769 0.4428  1 Sc 2.07, 2 Y 2.17-2.20, 1 H 2.20
H 0.0980 0.9428 0.1659  1 Sc 2.07, 2 Y 2.17-2.20, 1 H 2.20
H 0.5980 0.9321 0.6552  1 Sc 2.07, 2 Y 2.17-2.20, 1 H 2.20
H 0.7231 0.5572 0.1552  1 Sc 2.07, 2 Y 2.17-2.20, 1 H 2.20
H 0.7769 0.4321 0.3341  1 Sc 2.07, 2 Y 2.17-2.20, 1 H 2.20
H 0.8448 0.9020 0.0679  1 Sc 2.07, 2 Y 2.17-2.20, 1 H 2.20
H 0.1659 0.7231 0.5679  1 Sc 2.07, 2 Y 2.17-2.20, 1 H 2.20
H 0.3341 0.4020 0.0572  1 Sc 2.07, 2 Y 2.17-2.20, 1 H 2.20
H 0.0572 0.9020 0.3341  1 Sc 2.07, 2 Y 2.17-2.20, 1 H 2.20
H 0.4428 0.1659 0.5980  1 Sc 2.07, 2 Y 2.17-2.20, 1 H 2.20
H 0.0572 0.1552 0.2231  1 Sc 2.07, 2 Y 2.17-2.20, 1 H 2.20
H 0.4321 0.6552 0.0980  1 Sc 2.07, 2 Y 2.17-2.20, 1 H 2.20
H 0.8448 0.9428 0.2769  1 Sc 2.07, 2 Y 2.17-2.20, 1 H 2.20
H 0.1659 0.4428 0.0980  1 Sc 2.07, 2 Y 2.17-2.20, 1 H 2.20
H 0.3341 0.9321 0.7769  1 Sc 2.07, 2 Y 2.17-2.20, 1 H 2.20
H 0.5980 0.6659 0.4428  1 Sc 2.07, 2 Y 2.17-2.20, 1 H 2.20
H 0.9020 0.8448 0.5679  1 Sc 2.07, 2 Y 2.17-2.20, 1 H 2.20
H 0.7769 0.3448 0.9428  1 Sc 2.07, 2 Y 2.17-2.20, 1 H 2.20
H 0.4020 0.3341 0.5572  1 Sc 2.07, 2 Y 2.17-2.20, 1 H 2.20
H 0.0980 0.1552 0.4321  1 Sc 2.07, 2 Y 2.17-2.20, 1 H 2.20
H 0.2231 0.6552 0.0572  1 Sc 2.07, 2 Y 2.17-2.20, 1 H 2.20
H 0.1552 0.0572 0.7231  1 Sc 2.07, 2 Y 2.17-2.20, 1 H 2.20
H 0.6659 0.0679 0.2231  1 Sc 2.07, 2 Y 2.17-2.20, 1 H 2.20
H 0.8341 0.5572 0.9020  1 Sc 2.07, 2 Y 2.17-2.20, 1 H 2.20
H 0.5679 0.3448 0.9020  1 Sc 2.07, 2 Y 2.17-2.20, 1 H 2.20
H 0.5572 0.8341 0.4020  1 Sc 2.07, 2 Y 2.17-2.20, 1 H 2.20
H 0.9428 0.8448 0.7769  1 Sc 2.07, 2 Y 2.17-2.20, 1 H 2.20
H 0.9428 0.0980 0.6659  1 Sc 2.07, 2 Y 2.17-2.20, 1 H 2.20
H 0.8341 0.2769 0.4321  1 Sc 2.07, 2 Y 2.17-2.20, 1 H 2.20
H 0.1552 0.0980 0.9321  1 Sc 2.07, 2 Y 2.17-2.20, 1 H 2.20
H 0.6659 0.5980 0.9428  1 Sc 2.07, 2 Y 2.17-2.20, 1 H 2.20
H 0.4020 0.0679 0.3448  1 Sc 2.07, 2 Y 2.17-2.20, 1 H 2.20
H 0.2769 0.4428 0.8448  1 Sc 2.07, 2 Y 2.17-2.20, 1 H 2.20
H 0.2231 0.5679 0.6659  1 Sc 2.07, 2 Y 2.17-2.20, 1 H 2.20
H 0.9020 0.0572 0.8341  1 Sc 2.07, 2 Y 2.17-2.20, 1 H 2.20
H 0.6552 0.2231 0.5572  1 Sc 2.07, 2 Y 2.17-2.20, 1 H 2.20
H 0.4321 0.7769 0.8341  1 Sc 2.07, 2 Y 2.17-2.20, 1 H 2.20
H 0.0679 0.4020 0.8448  1 Sc 2.07, 2 Y 2.17-2.20, 1 H 2.20
H 0.4428 0.2769 0.3448  1 Sc 2.07, 2 Y 2.17-2.20, 1 H 2.20
H 0.0679 0.6659 0.7231  1 Sc 2.07, 2 Y 2.17-2.20, 1 H 2.20
H 0.6552 0.4321 0.5980  1 Sc 2.07, 2 Y 2.17-2.20, 1 H 2.20
H 0.2769 0.8341 0.9321  1 Sc 2.07, 2 Y 2.17-2.20, 1 H 2.20

=====

# BaReSe2

A relaxed BaReSe2 crystal (PBE, Alexandria via LeMat-Bulk).

Values from the calculation:
polymorph energy (0 for the lowest one): 0.224 eV/atom
space group: P2/m

a = 4.0127 Å, b = 3.6880 Å, c = 6.8295 Å
α = 89.88°, β = 90.00°, γ = 90.00°
With the nearest neighbours (Å) after each atom.
Positions (direct):
Ba 0.5000 0.2500 0.2500  8 Se 3.33, 2 Ba 3.69
Re 0.5000 0.7500 0.7500  4 Se 2.51
Se 0.0000 0.7526 0.9702  2 Re 2.51
Se 0.0000 0.7474 0.5298  2 Re 2.51

=====

# ZrGa3Ir

A relaxed ZrGa3Ir crystal (PBE, Alexandria via LeMat-Bulk).

Values from the calculation:
polymorph energy (0 for the lowest one): 1.751 eV/atom
formation energy from the elements: 1.355 eV/atom
space group: Pm-3m

a = 5.0167 Å, b = 5.0167 Å, c = 5.0167 Å
α = 90.00°, β = 90.00°, γ = 90.00°
With the nearest neighbours (Å) after each atom.
Positions (direct):
Ir 0.5000 0.5000 0.5000  12 Ga 3.55
Ga 0.0000 0.5000 0.0000  2 Zr 2.51
Ga 0.0000 0.0000 0.5000  2 Zr 2.51
Ga 0.5000 0.0000 0.0000  2 Zr 2.51
Zr 0.0000 0.0000 0.0000  6 Ga 2.51

=====

# Ho5Sb2Pt

A relaxed Ho5Sb2Pt crystal (PBE, Alexandria via LeMat-Bulk).

Values from the calculation:
space group: Cmcm

a = 5.5746 Å, b = 8.1029 Å, c = 13.5581 Å
α = 90.00°, β = 90.00°, γ = 110.12°
With the nearest neighbours (Å) after each atom.
Positions (direct):
Ho 0.9250 0.8499 0.8839  1 Pt 2.72, 1 Sb 2.98
Ho 0.9250 0.8499 0.6161  1 Pt 2.72, 1 Sb 2.98
Ho 0.2993 0.5986 0.4387  1 Pt 2.91, 2 Sb 3.04
Ho 0.2993 0.5986 0.0613  1 Pt 2.91, 2 Sb 3.04
Ho 0.7201 0.4403 0.2500  2 Pt 2.79
Ho 0.2799 0.5597 0.7500  2 Pt 2.79
Ho 0.7007 0.4014 0.5613  1 Pt 2.91, 2 Sb 3.04
Ho 0.7007 0.4014 0.9387  1 Pt 2.91, 2 Sb 3.04
Ho 0.0750 0.1501 0.1161  1 Pt 2.72, 1 Sb 2.98
Ho 0.0750 0.1501 0.3839  1 Pt 2.72, 1 Sb 2.98
Sb 0.8735 0.7470 0.4044  5 Ho 2.98-3.13
Sb 0.8735 0.7470 0.0956  5 Ho 2.98-3.13
Sb 0.1265 0.2530 0.5956  5 Ho 2.98-3.13
Sb 0.1265 0.2530 0.9044  5 Ho 2.98-3.13
Pt 0.7915 0.5830 0.7500  6 Ho 2.72-2.91
Pt 0.2085 0.4170 0.2500  6 Ho 2.72-2.91

=====

# PmCd2Au

A relaxed PmCd2Au crystal (PBE, Alexandria via LeMat-Bulk).

Values from the calculation:
polymorph energy (0 for the lowest one): 0.109 eV/atom
formation energy from the elements: -0.379 eV/atom
space group: Fm-3m

a = 5.0348 Å, b = 5.0348 Å, c = 5.0348 Å
α = 60.00°, β = 60.00°, γ = 60.00°
With the nearest neighbours (Å) after each atom.
Positions (direct):
Cd 0.2500 0.2500 0.2500  4 Pm 3.08, 4 Au 3.08
Cd 0.7500 0.7500 0.7500  4 Au 3.08, 4 Pm 3.08
Au 0.0000 0.0000 0.0000  8 Cd 3.08
Pm 0.5000 0.5000 0.5000  8 Cd 3.08

=====

# Pr3Nd3Tl2In

A relaxed Pr3Nd3Tl2In crystal (PBE, Alexandria via LeMat-Bulk).

Values from the calculation:
formation energy from the elements: -0.285 eV/atom
space group: P-62m

a = 3.8679 Å, b = 9.2721 Å, c = 9.2721 Å
α = 120.00°, β = 90.00°, γ = 90.00°
With the nearest neighbours (Å) after each atom.
Positions (direct):
Pr 0.5000 0.7139 0.0000  2 In 3.28, 2 Tl 3.33, 2 Nd 3.61
Pr 0.5000 0.0000 0.7139  2 In 3.28, 2 Tl 3.33, 2 Nd 3.61
Pr 0.5000 0.2861 0.2861  2 In 3.28, 2 Tl 3.33, 2 Nd 3.61
Nd 0.0000 0.6147 0.6147  4 Tl 3.47, 1 In 3.57, 6 Pr 3.61-3.75, 2 Nd 3.87
Nd 0.0000 0.0000 0.3853  4 Tl 3.47, 1 In 3.57, 6 Pr 3.61-3.75, 2 Nd 3.87
Nd 0.0000 0.3853 0.0000  4 Tl 3.47, 1 In 3.57, 6 Pr 3.61-3.75, 2 Nd 3.87
Tl 0.5000 0.6667 0.3333  3 Pr 3.33, 6 Nd 3.47
Tl 0.5000 0.3333 0.6667  3 Pr 3.33, 6 Nd 3.47
In 0.0000 0.0000 0.0000  6 Pr 3.28, 3 Nd 3.57

=====

Number 1: energy -2.935 eV/atom. Number 2: energy -4.517 eV/atom. Number 3: energy -5.019 eV/atom. Number 4: energy -5.613 eV/atom. Number 5: energy -3.943 eV/atom. Number 6: energy -5.140 eV/atom. Number 7: energy -2.844 eV/atom. Number 8: energy -4.298 eV/atom.